A plane-wave DFT calculation with GGA-PBE was carried out for BaHfSe2 after structural relaxation. Values from VASP.

The structure in Quantum ESPRESSO input format:
```
&SYSTEM
  ibrav = 0, nat = 4, ntyp = 3
/
ATOMIC_SPECIES
Hf 178.49 Hf.upf
Ba 137.33 Ba.upf
Se 78.96 Se.upf
CELL_PARAMETERS angstrom
-2.8495 -4.2900 0.6668
-5.1817 0.2645 -0.2199
-2.5378 -2.0829 -4.0236
ATOMIC_POSITIONS crystal
Hf 0.5000 0.5000 0.5000
Ba 0.0000 0.0000 0.0000
Se 0.2500 0.2500 0.2500
Se 0.7500 0.7500 0.7500
```

Computed properties:
M_tot	1.8	μB/f.u.
formation energy from raw total energies	-3.391	eV/f.u.
calculated density	7.944	g/cm3
excess energy over the best structure of this formula in the dataset	218.7	meV per atom
space group	Fm-3m (225)
E_tot	-5.559	eV/atom
V	99.0	Å³ per cell